# EuInPb4

Crystalline EuInPb4 at its relaxed geometry (PBE, the Alexandria database).

Unit cell a=9.2244 b=9.2244 c=9.2244 alpha=90.00 beta=90.00 gamma=90.00
With the nearest neighbours (Å) after each atom.
Space group F-43m (No. 216)
Inequivalent atoms, fractional coordinates:
1 Eu 0.0000 0.0000 0.0000 x4  12 Pb 3.82, 4 In 3.99
2 In 0.2500 0.2500 0.2500 x4  12 Pb 3.83, 4 Eu 3.99
3 Pb 0.1254 0.1254 0.6254 x16  6 Pb 3.25-3.27

Output
crystal system	cubic
calculated formation energy	-0.12	eV/atom

***

# EuScInPb

Crystalline EuScInPb at its relaxed geometry (PBE, the Alexandria database).

Unit cell a=7.5704 b=7.5704 c=7.5704 alpha=90.00 beta=90.00 gamma=90.00
With the nearest neighbours (Å) after each atom.
Space group F-43m (No. 216)
Inequivalent atoms, fractional coordinates:
1 Eu 0.0000 0.0000 0.0000 x4  4 In 3.28, 4 Pb 3.28
2 Sc 0.0000 0.0000 0.5000 x4  4 Pb 3.28, 4 In 3.28
3 In 0.2500 0.2500 0.2500 x4  4 Sc 3.28, 4 Eu 3.28
4 Pb 0.2500 0.2500 0.7500 x4  4 Eu 3.28, 4 Sc 3.28

Output
crystal system	cubic
calculated formation energy	-0.37	eV/atom

***

# EuThInPb

Crystalline EuThInPb at its relaxed geometry (PBE, the Alexandria database).

Unit cell a=7.8608 b=7.8608 c=7.8608 alpha=90.00 beta=90.00 gamma=90.00
With the nearest neighbours (Å) after each atom.
Space group F-43m (No. 216)
Inequivalent atoms, fractional coordinates:
1 Eu 0.0000 0.0000 0.0000 x4  4 In 3.40, 4 Pb 3.40
2 Th 0.0000 0.0000 0.5000 x4  4 In 3.40, 4 Pb 3.40
3 In 0.2500 0.2500 0.7500 x4  4 Th 3.40, 4 Eu 3.40
4 Pb 0.2500 0.2500 0.2500 x4  4 Th 3.40, 4 Eu 3.40

Output
crystal system	cubic
calculated formation energy	-0.28	eV/atom

***

# EuTmInPb

Crystalline EuTmInPb at its relaxed geometry (PBE, the Alexandria database).

Unit cell a=7.7223 b=7.7223 c=7.7223 alpha=90.00 beta=90.00 gamma=90.00
With the nearest neighbours (Å) after each atom.
Space group F-43m (No. 216)
Inequivalent atoms, fractional coordinates:
1 Eu 0.0000 0.0000 0.0000 x4  4 Pb 3.34, 4 In 3.34
2 Tm 0.0000 0.0000 0.5000 x4  4 In 3.34, 4 Pb 3.34
3 In 0.2500 0.2500 0.2500 x4  4 Tm 3.34, 4 Eu 3.34
4 Pb 0.2500 0.2500 0.7500 x4  4 Tm 3.34, 4 Eu 3.34

Output
crystal system	cubic
calculated formation energy	-0.41	eV/atom

***

# EuYInPb

Crystalline EuYInPb at its relaxed geometry (PBE, the Alexandria database).

Unit cell a=7.7681 b=7.7681 c=7.7681 alpha=90.00 beta=90.00 gamma=90.00
With the nearest neighbours (Å) after each atom.
Space group F-43m (No. 216)
Inequivalent atoms, fractional coordinates:
1 Eu 0.0000 0.0000 0.0000 x4  4 In 3.36, 4 Pb 3.36
2 Y 0.0000 0.0000 0.5000 x4  4 In 3.36, 4 Pb 3.36
3 In 0.2500 0.2500 0.2500 x4  4 Eu 3.36, 4 Y 3.36
4 Pb 0.2500 0.2500 0.7500 x4  4 Eu 3.36, 4 Y 3.36

Output
crystal system	cubic
calculated formation energy	-0.45	eV/atom

***

# EuIn2Pd

Crystalline EuIn2Pd at its relaxed geometry (PBE, the Alexandria database).

Unit cell a=4.5816 b=10.6466 c=7.8785 alpha=90.00 beta=90.00 gamma=90.00
With the nearest neighbours (Å) after each atom.
Space group Cmcm (No. 63)
Inequivalent atoms, fractional coordinates:
1 Eu 0.0000 0.0670 0.2500 x4  3 Pd 3.01-3.26
2 In 0.0000 0.3551 0.0528 x8  3 Pd 2.81-2.87, 1 In 3.11
3 Pd 0.0000 0.2155 0.7500 x4  6 In 2.81-2.87, 1 Eu 3.01

Output
crystal system	orthorhombic
calculated formation energy	-0.62	eV/atom
ΔE to the lowest computed polymorph	0.0000	eV/atom

***

# Eu2InPd2

Crystalline Eu2InPd2 at its relaxed geometry (PBE, the Alexandria database).

Unit cell a=5.8895 b=5.9515 c=8.3358 alpha=77.22 beta=89.98 gamma=60.45
With the nearest neighbours (Å) after each atom.
Space group P-1 (No. 2)
Inequivalent atoms, fractional coordinates:
1 Eu 0.0023 0.2043 0.1470 x2  6 Pd 3.13-3.29, 2 In 3.49
2 Eu 0.2935 0.2041 0.6470 x2  6 Pd 3.12-3.28, 2 In 3.48-3.49
3 In 0.3479 0.5004 0.2502 x2  4 Pd 2.77-2.79
4 Pd 0.2278 0.7705 0.4978 x2  1 Pd 2.73, 2 In 2.77-2.79
5 Pd 0.4979 0.2299 0.0026 x2  1 Pd 2.73, 2 In 2.77-2.79

Output
crystal system	triclinic
calculated formation energy	-0.71	eV/atom

***

# EuIn2Pd

Crystalline EuIn2Pd at its relaxed geometry (PBE, the Alexandria database).

Unit cell a=3.4533 b=3.4533 c=7.8416 alpha=90.00 beta=90.00 gamma=90.00
With the nearest neighbours (Å) after each atom.
Space group P4/mmm (No. 123)
Inequivalent atoms, fractional coordinates:
1 Eu 0.0000 0.0000 0.0000 x1  8 In 3.40, 4 Eu 3.45
2 In 0.5000 0.5000 0.3024 x2  4 Pd 2.89, 1 In 3.10
3 Pd 0.0000 0.0000 0.5000 x1  8 In 2.89

Output
crystal system	tetragonal
calculated formation energy	-0.50	eV/atom
ΔE to the lowest computed polymorph	0.1269	eV/atom

***

# EuIn2Pd

Crystalline EuIn2Pd at its relaxed geometry (PBE, the Alexandria database).

Unit cell a=7.1411 b=7.1411 c=7.1411 alpha=90.00 beta=90.00 gamma=90.00
With the nearest neighbours (Å) after each atom.
Space group Fm-3m (No. 225)
Inequivalent atoms, fractional coordinates:
1 Eu 0.0000 0.0000 0.0000 x4  8 In 3.09
2 In 0.2500 0.2500 0.2500 x8  4 Pd 3.09, 4 Eu 3.09
3 Pd 0.0000 0.0000 0.5000 x4  8 In 3.09

Output
crystal system	cubic
calculated formation energy	-0.42	eV/atom
ΔE to the lowest computed polymorph	0.1986	eV/atom

***

# EuIn2Pd

Crystalline EuIn2Pd at its relaxed geometry (PBE, the Alexandria database).

Unit cell a=4.6237 b=4.6237 c=16.7805 alpha=90.00 beta=90.00 gamma=120.00
With the nearest neighbours (Å) after each atom.
Space group R-3m (No. 166, hexagonal axes)
Inequivalent atoms, fractional coordinates:
1 Eu 0.0000 0.0000 0.0000 x3  8 In 3.32-3.61
2 In 0.0000 0.0000 0.2152 x6  3 Pd 2.79
3 Pd 0.0000 0.0000 0.5000 x3  6 In 2.79

Output
crystal system	trigonal
calculated formation energy	-0.47	eV/atom
ΔE to the lowest computed polymorph	0.1521	eV/atom

***

# EuIn4Pd

Crystalline EuIn4Pd at its relaxed geometry (PBE, the Alexandria database).

Unit cell a=4.6536 b=17.2647 c=7.3148 alpha=90.00 beta=90.00 gamma=90.00
With the nearest neighbours (Å) after each atom.
Space group Cmcm (No. 63)
Inequivalent atoms, fractional coordinates:
1 Eu 0.0000 0.1232 0.2500 x4  11 In 3.26-3.65, 2 Pd 3.55
2 In 0.0000 0.0658 0.7500 x4  1 Pd 2.68
3 In 0.0000 0.3161 0.0461 x8  3 Pd 2.72-2.84, 1 In 2.98
4 In 0.0000 0.5000 0.0000 x4  6 In 3.17-3.19
5 Pd 0.0000 0.2212 0.7500 x4  7 In 2.68-2.84

Output
crystal system	orthorhombic
calculated formation energy	-0.47	eV/atom

***

# EuInPdPt

Crystalline EuInPdPt at its relaxed geometry (PBE, the Alexandria database).

Unit cell a=6.9101 b=6.9101 c=6.9101 alpha=90.00 beta=90.00 gamma=90.00
With the nearest neighbours (Å) after each atom.
Space group F-43m (No. 216)
Inequivalent atoms, fractional coordinates:
1 Eu 0.0000 0.0000 0.0000 x4  4 Pd 2.99, 4 Pt 2.99
2 In 0.0000 0.0000 0.5000 x4  4 Pt 2.99, 4 Pd 2.99
3 Pd 0.2500 0.2500 0.2500 x4  4 In 2.99, 4 Eu 2.99
4 Pt 0.2500 0.2500 0.7500 x4  4 In 2.99, 4 Eu 2.99

Output
crystal system	cubic
calculated formation energy	-0.64	eV/atom